This record from the Alexandria database describes a geometry-optimized TlAgBiS3 structure. The functional is GGA-PBE.

```
TlAgBiS3
1.0
8.746 0.000 0.000
0.000 4.122 0.000
-2.273 0.000 9.052
Tl Ag Bi S
2 2 2 6
Cartesian
1.111 1.030 1.956
5.361 3.091 7.096
-0.536 1.030 5.297
7.008 3.091 3.754
0.981 3.091 7.742
5.491 1.030 1.309
-0.937 1.030 7.870
0.726 3.091 4.674
3.498 3.091 1.380
2.974 1.030 7.672
5.746 1.030 4.378
7.409 3.091 1.181
```

Magnetic moment in μB per atom: 0.00
Formation energy from raw total energies in meV/atom: -173
Total energy in eV/atom: -3.7527
Crystal system: monoclinic
Theoretical density in g/cm3: 6.3

This record from the Alexandria database describes a geometry-optimized Ni2SnPd structure. The functional is GGA-PBE.

```
Ni2SnPd
1.0
4.009 0.000 0.000
2.003 4.093 0.000
1.994 0.157 7.037
Ni Sn Pd
4 2 2
Cartesian
0.000 0.000 0.000
1.998 2.125 3.519
3.999 1.205 5.352
4.006 3.044 1.685
2.002 1.469 1.055
6.003 2.781 5.983
4.000 3.708 4.352
4.005 0.542 2.686
```

Magnetic moment in μB per atom: 0.00
Total energy in eV/atom: -5.3336
Crystal system: triclinic
Theoretical density in g/cm3: 9.9

Which of these has the lowest theoretical density? TlAgBiS3